[1]
! PBE-GGA MgPtI2O, optimized geometry; values from VASP
&SYSTEM
  ibrav = 0, nat = 5, ntyp = 4
/
ATOMIC_SPECIES
I 126.90 I.upf
Pt 195.08 Pt.upf
O 16.00 O.upf
Mg 24.30 Mg.upf
ATOMIC_POSITIONS crystal
I 0.0000 0.5000 0.0000
I 0.5000 0.0000 0.0000
Pt 0.5000 0.5000 0.5000
O 0.0000 0.0000 0.5000
Mg 0.0000 0.0000 0.0000
CELL_PARAMETERS angstrom
5.6563 0.0000 0.0000
0.0000 5.6563 0.0000
0.0000 0.0000 3.6201
! DFT total energy: -3.165 eV/atom
! space group: P4/mmm, No. 123
! distance to the lowest polymorph of the same formula: 124 meV/atom
! uncorrected formation energy: -26 meV/atom

=====

[2]
! PBE-GGA RbMgIO2, optimized geometry; values from VASP
&SYSTEM
  ibrav = 0, nat = 5, ntyp = 4
/
ATOMIC_SPECIES
Rb 85.47 Rb.upf
O 16.00 O.upf
Mg 24.30 Mg.upf
I 126.90 I.upf
ATOMIC_POSITIONS crystal
Rb 0.5000 0.5000 0.5000
O 0.0000 0.5000 0.0000
O 0.5000 0.0000 0.0000
Mg 0.0000 0.0000 0.0000
I 0.0000 0.0000 0.5000
CELL_PARAMETERS angstrom
4.5487 0.0000 0.0000
0.0000 4.5487 0.0000
0.0000 0.0000 5.7274
! DFT total energy: -3.503 eV/atom
! space group: P4/mmm, No. 123
! distance to the lowest polymorph of the same formula: 0 meV/atom
! uncorrected formation energy: -698 meV/atom

=====

[3]
! PBE-GGA Rb2MgI6O, optimized geometry; values from VASP
&SYSTEM
  ibrav = 0, nat = 10, ntyp = 4
/
ATOMIC_SPECIES
I 126.90 I.upf
Mg 24.30 Mg.upf
Rb 85.47 Rb.upf
O 16.00 O.upf
ATOMIC_POSITIONS crystal
I 0.7221 0.2779 0.0000
I 0.2779 0.2779 0.0000
I 0.7221 0.7221 0.0000
I 0.2163 0.2163 0.5674
I 0.2779 0.7221 0.0000
I 0.7837 0.7837 0.4326
Mg 0.0000 0.0000 0.0000
Rb 0.7500 0.2500 0.5000
Rb 0.2500 0.7500 0.5000
O 0.5000 0.5000 0.0000
CELL_PARAMETERS angstrom
7.8177 0.0000 0.0000
0.0000 7.8177 0.0000
3.9088 3.9088 6.3622
! DFT total energy: -2.434 eV/atom
! space group: I4/mmm, No. 139
! uncorrected formation energy: -656 meV/atom